# TcHg2W (PBE, relaxed)
# excess energy over the best structure of this formula in the dataset	946	meV per atom
data_TcHg2W
_chemical_formula_sum 'Tc4 Hg8 W4'
_cell_length_a 7.596
_cell_length_b 7.596
_cell_length_c 5.488
_cell_angle_alpha 90.00
_cell_angle_beta 90.00
_cell_angle_gamma 90.00
_space_group_name_H-M_alt 'I -4 2 d'
_space_group_IT_number 122
_space_group_name_Hall 'I -4 2bw'
loop_
_atom_site_label
_atom_site_fract_x
_atom_site_fract_y
_atom_site_fract_z
Tc1 0.000 0.000 0.000
Hg1 0.249 0.250 0.125
W1 0.000 0.000 0.500

# TcHgW (PBE, relaxed)
# excess energy over the best structure of this formula in the dataset	72	meV per atom
data_TcHgW
_chemical_formula_sum 'Tc4 Hg4 W4'
_cell_length_a 3.140
_cell_length_b 4.714
_cell_length_c 14.289
_cell_angle_alpha 90.00
_cell_angle_beta 90.00
_cell_angle_gamma 90.00
_space_group_name_H-M_alt 'F m m 2'
_space_group_IT_number 42
_space_group_name_Hall 'F 2 -2'
loop_
_atom_site_label
_atom_site_fract_x
_atom_site_fract_y
_atom_site_fract_z
Tc1 0.000 0.000 0.000
Hg1 0.000 0.000 0.322
W1 0.000 0.000 0.640

| no. | E (eV per cell) |
| --- | --- |
| 1 | -74.182 |
| 2 | -88.161 |